[1]
The following is a PBE calculation of a relaxed NaLaPr2Te4 crystal, from Alexandria via LeMat-Bulk.

a b c (Å): 4.531 7.849 7.963
angles (deg): 109.14 90.00 90.00
Atoms (fractional coordinates):
Te 0.000 0.252 0.750
Te 0.500 0.747 0.750
Te 0.500 0.253 0.250
Te 0.000 0.748 0.250
Pr 0.500 0.000 0.500
Pr 0.000 0.500 0.500
Na 0.500 0.500 0.000
La 0.000 0.000 0.000

**Energy relative to the elements, uncorrected**: -1.437 eV per atom
**Magnetization**: 0.0 μB/cell
**Calculated total energy**: -39.9 eV/f.u.

[2]
The following is a PBE calculation of a relaxed Tm7CoS5 crystal, from Alexandria via LeMat-Bulk.

a b c (Å): 3.762 6.607 23.106
angles (deg): 90.01 90.00 106.57
Atoms (fractional coordinates):
Tm 0.457 0.914 0.250
Tm 0.092 0.184 0.885
Tm 0.091 0.182 0.615
Tm 0.909 0.817 0.385
Tm 0.199 0.399 0.320
Tm 0.361 0.722 0.537
Tm 0.801 0.602 0.820
Tm 0.801 0.601 0.680
Tm 0.640 0.279 0.037
Tm 0.910 0.819 0.115
Tm 0.543 0.088 0.750
Tm 0.639 0.278 0.463
Tm 0.362 0.723 0.963
Tm 0.200 0.400 0.180
S 0.723 0.446 0.571
S 0.277 0.555 0.071
S 0.724 0.447 0.929
S 0.446 0.893 0.642
S 0.554 0.108 0.358
S 0.277 0.554 0.429
S 0.000 0.000 0.500
S 0.446 0.893 0.858
S 0.001 0.001 0.000
S 0.555 0.109 0.142
Co 0.193 0.386 0.750
Co 0.807 0.615 0.250

**Energy relative to the elements, uncorrected**: -1.545 eV per atom
**Magnetization**: 0.0 μB/cell
**Calculated total energy**: -79.1 eV/f.u.

[3]
The following is a PBE calculation of a relaxed Y12Ho6Er crystal, from Alexandria via LeMat-Bulk.

a b c (Å): 8.533 8.533 8.533
angles (deg): 87.92 87.92 87.92
Atoms (fractional coordinates):
Ho 0.256 0.093 0.694
Ho 0.744 0.907 0.306
Ho 0.306 0.744 0.907
Ho 0.093 0.694 0.256
Ho 0.694 0.256 0.093
Ho 0.907 0.306 0.744
Y 0.777 0.543 0.436
Y 0.436 0.777 0.543
Y 0.011 0.201 0.359
Y 0.543 0.436 0.777
Y 0.989 0.799 0.641
Y 0.359 0.011 0.201
Y 0.641 0.989 0.799
Y 0.201 0.359 0.011
Y 0.223 0.457 0.564
Y 0.799 0.641 0.989
Y 0.564 0.223 0.457
Y 0.457 0.564 0.223
Er 0.000 0.000 0.000

**Magnetization**: 0.0 μB/cell
**Calculated total energy**: -106.7 eV/f.u.
**DFT formation energy**: 0.15 eV/atom
**Energy above the most stable polymorph in this dataset**: 0 meV/atom

[4]
The following is a PBE calculation of a relaxed Sr3CaRh crystal, from Alexandria via LeMat-Bulk.

a b c (Å): 6.238 6.238 15.008
angles (deg): 78.00 78.00 90.00
Site moments in Bohr magnetons follow the coordinates.
Atoms (fractional coordinates):
Rh 0.628 0.128 0.743  -0.06
Rh 0.872 0.372 0.257  -0.05
Sr 0.640 0.877 0.247  0.03
Sr 0.667 0.667 0.667  0.00
Sr 0.123 0.887 0.753  0.04
Sr 0.123 0.360 0.753  0.04
Sr 0.333 0.333 0.333  0.00
Sr 0.113 0.877 0.247  0.03
Ca 0.000 0.000 0.000  0.03
Ca 0.250 0.750 0.500  0.00

**Magnetization**: 0.6 μB/cell
**Calculated total energy**: -10.1 eV/f.u.
**DFT formation energy**: 0.87 eV/atom
**Energy above the most stable polymorph in this dataset**: 1068 meV/atom

[5]
The following is a PBE calculation of a relaxed K2HfZn crystal, from Alexandria via LeMat-Bulk.

a b c (Å): 11.775 11.775 8.734
angles (deg): 47.62 47.62 90.00
Site moments in Bohr magnetons follow the coordinates.
Atoms (fractional coordinates):
K 0.255 0.625 0.250  0.00
K 0.375 0.505 0.750  0.00
K 0.875 0.745 0.750  0.00
K 0.495 0.125 0.250  0.00
Zn 0.250 0.750 0.500  0.03
Zn 0.500 0.500 0.000  0.03
Hf 0.000 0.000 0.000  0.35
Hf 0.750 0.250 0.500  0.36

**Magnetization**: 1.3 μB/cell
**Calculated total energy**: -9.4 eV/f.u.
**DFT formation energy**: 1.00 eV/atom

[6]
The following is a PBE calculation of a relaxed CdSiRu crystal, from Alexandria via LeMat-Bulk.

a b c (Å): 4.883 6.980 6.980
angles (deg): 72.48 74.34 74.34
Atoms (fractional coordinates):
Cd 0.197 0.159 0.409
Cd 0.197 0.659 0.909
Cd 0.803 0.841 0.591
Cd 0.803 0.341 0.091
Ru 0.871 0.577 0.327
Ru 0.871 0.077 0.827
Ru 0.129 0.923 0.173
Ru 0.129 0.423 0.673
Si 0.628 0.406 0.656
Si 0.628 0.906 0.156
Si 0.372 0.094 0.844
Si 0.372 0.594 0.344

**Energy relative to the elements, uncorrected**: -0.157 eV per atom
**Magnetization**: 0.0 μB/cell
**Calculated total energy**: -16.1 eV/f.u.

[7]
The following is a PBE calculation of a relaxed Dy2Ga3Pd8 crystal, from Alexandria via LeMat-Bulk.

a b c (Å): 7.880 5.534 7.063
angles (deg): 113.06 122.33 90.00
Atoms (fractional coordinates):
Pd 0.100 0.884 0.769
Pd 0.795 0.285 0.570
Pd 0.205 0.715 0.430
Pd 0.405 0.869 0.242
Pd 0.595 0.627 0.758
Pd 0.595 0.131 0.758
Pd 0.900 0.116 0.231
Pd 0.405 0.373 0.242
Ga 0.500 0.000 0.000
Ga 0.000 0.262 0.000
Ga 0.000 0.738 0.000
Dy 0.244 0.364 0.728
Dy 0.756 0.636 0.272

**Magnetization**: 0.0 μB/cell
**Calculated total energy**: -68.5 eV/f.u.
**DFT formation energy**: -0.67 eV/atom

[8]
The following is a PBE calculation of a relaxed LiAgTeH2 crystal, from Alexandria via LeMat-Bulk.

a b c (Å): 3.921 5.671 3.921
angles (deg): 90.00 90.00 90.00
Atoms (fractional coordinates):
H 0.000 0.000 0.500
H 0.500 0.000 0.000
Te 0.000 0.500 0.000
Ag 0.500 0.500 0.500
Li 0.000 0.000 0.000

**Magnetization**: 0.0 μB/cell
**Calculated total energy**: -12.3 eV/f.u.

[9]
The following is a PBE calculation of a relaxed Ta6Cr7 crystal, from Alexandria via LeMat-Bulk.

a b c (Å): 9.650 9.650 9.650
angles (deg): 29.45 29.45 29.45
Atoms (fractional coordinates):
Ta 0.150 0.150 0.150
Ta 0.667 0.667 0.667
Ta 0.333 0.333 0.333
Ta 0.048 0.048 0.048
Ta 0.952 0.952 0.952
Ta 0.850 0.850 0.850
Cr 0.595 0.090 0.595
Cr 0.090 0.595 0.595
Cr 0.500 0.500 0.500
Cr 0.910 0.405 0.405
Cr 0.595 0.595 0.090
Cr 0.405 0.405 0.910
Cr 0.405 0.910 0.405

**Magnetization**: 0.0 μB/cell
**Calculated total energy**: -139.7 eV/f.u.
**DFT formation energy**: -0.10 eV/atom